Below is an optimized crystal structure of LaZr2W, with properties calculated at the PBE level.

a = 3.0338 Å, b = 4.8629 Å, c = 6.2337 Å
α = 90.00°, β = 90.00°, γ = 90.00°
Closest atoms and distances in Å follow each position.
Space group Pmm2 (No. 25)
Symmetry-distinct sites (fractional):
1 La 0.0000 0.0000 0.0000 (multiplicity 1)  1 Zr 2.88, 2 La 3.03
2 Zr 0.0000 0.0000 0.4615 (multiplicity 1)  1 La 2.88, 2 Zr 3.03, 4 W 3.12
3 Zr 0.5000 0.5000 0.7078 (multiplicity 1)  1 W 2.76, 2 Zr 3.03
4 W 0.5000 0.5000 0.2649 (multiplicity 1)  1 Zr 2.76, 2 W 3.03

Energy of formation from the pure elements ... 439 meV per atom
Energy above the most stable polymorph in this dataset ... 0.264 eV/atom